3
Lattice="-1.5952 1.5952 6.0742 1.5952 -1.5952 6.0742 1.5952 1.5952 -6.0742" Properties=species:S:1:pos:R:3 comment="PrNpC | Alexandria | PBE | optimized geometry" e_above_lowest_polymorph_kcal_per_mol_atoms=6.85 e_form_mev_per_atom=512 mass_density_kg_m3=10472 pbc="T T T"
Pr 0.0000 0.0000 0.0000
Np 0.0000 0.0000 9.2146
C 0.0000 0.0000 4.0913

---

11
Lattice="4.2950 -2.5009 0.0000 4.2950 2.5009 0.0000 -2.4976 0.0000 7.4170" Properties=species:S:1:pos:R:3 comment="Ac2HF8 | Alexandria | PBE | optimized geometry" dft_energy_ev_per_atom=-5.701 mass_density_kg_m3=6326 pbc="T T T"
Ac -0.0650 0.0000 2.0930
Ac 6.1574 0.0000 5.3240
H 4.2950 0.0000 0.0000
F 2.0102 1.2918 2.8921
F 1.2794 0.0000 0.0389
F 4.0822 1.2918 4.5249
F 1.8704 0.0000 6.2635
F 4.2220 0.0000 1.1535
F 2.0102 -1.2918 2.8921
F 4.8129 0.0000 7.3781
F 4.0822 -1.2918 4.5249

---

Calculated D(E_F), 6.3 4.9 states/eV/cell (same order as the records).